Entry from Alexandria via LeMat-Bulk: an optimized crystal structure of Fe2IrCl (PBE-GGA). Values from VASP.

## Properties
Energy relative to the elements, uncorrected ... 0.1285 eV/atom
Magnetization ... 7.4 μB/f.u.
Theoretical density ... 9.00 g/cm³
Energy above the lowest structure with this stoichiometry ... 0 meV/atom
Symmetry ... Pmmm (47)

The structure in Quantum ESPRESSO input format:
```
&SYSTEM
  ibrav = 0, nat = 4, ntyp = 3
/
ATOMIC_SPECIES
Ir 192.22 Ir.upf
Cl 35.45 Cl.upf
Fe 55.84 Fe.upf
CELL_PARAMETERS angstrom
-0.366 1.742 2.317
-1.740 -2.050 1.267
5.778 -2.964 3.141
ATOMIC_POSITIONS crystal
Ir 0.500 0.250 0.250
Cl 0.500 0.750 0.750
Fe 0.000 0.750 0.471
Fe 0.000 0.750 0.029
```



Entry from Alexandria via LeMat-Bulk: an optimized crystal structure of CaSc2Ag (PBE-GGA). Values from VASP.

## Properties
Magnetization ... 0.4 μB/f.u.
Theoretical density ... 4.00 g/cm³
Energy above the lowest structure with this stoichiometry ... 205 meV/atom
Symmetry ... I-4m2 (119)

The structure in Quantum ESPRESSO input format:
```
&SYSTEM
  ibrav = 0, nat = 4, ntyp = 3
/
ATOMIC_SPECIES
Ca 40.08 Ca.upf
Sc 44.96 Sc.upf
Ag 107.87 Ag.upf
CELL_PARAMETERS angstrom
5.831 0.001 0.000
2.368 5.329 0.000
-4.099 -2.665 3.178
ATOMIC_POSITIONS crystal
Ca 0.750 0.250 0.500
Sc 0.000 0.000 0.000
Ag 0.500 0.500 0.000
Sc 0.250 0.750 0.500
```



Entry from Alexandria via LeMat-Bulk: an optimized crystal structure of Ti2GaSi (PBE-GGA). Values from VASP.

## Properties
Energy relative to the elements, uncorrected ... -0.4899 eV/atom
Magnetization ... 0.0 μB/f.u.
Theoretical density ... 5.31 g/cm³
Symmetry ... P4/mmm (123)

The structure in Quantum ESPRESSO input format:
```
&SYSTEM
  ibrav = 0, nat = 4, ntyp = 3
/
ATOMIC_SPECIES
Ti 47.87 Ti.upf
Si 28.09 Si.upf
Ga 69.72 Ga.upf
CELL_PARAMETERS angstrom
3.892 0.000 0.000
0.000 3.944 0.000
0.000 0.000 3.944
ATOMIC_POSITIONS crystal
Ti 0.000 0.500 0.000
Ti 0.000 0.000 0.500
Si 0.500 0.000 0.000
Ga 0.500 0.500 0.500
```



Entry from Alexandria via LeMat-Bulk: an optimized crystal structure of VAu3 (PBE-GGA). Values from VASP.

## Properties
Magnetization ... 2.8 μB/f.u.
Theoretical density ... 15.23 g/cm³
DFT total energy ... -4.620 eV/atom
Symmetry ... Imm2 (44)

The structure in Quantum ESPRESSO input format:
```
&SYSTEM
  ibrav = 0, nat = 4, ntyp = 2
/
ATOMIC_SPECIES
V 50.94 V.upf
Au 196.97 Au.upf
CELL_PARAMETERS angstrom
-1.870 -2.400 -0.118
3.676 -2.791 -1.510
0.152 1.553 5.310
ATOMIC_POSITIONS crystal
V 0.000 0.972 0.000
Au 0.500 0.464 0.000
Au 0.260 0.626 0.521
Au 0.740 0.105 0.479
```



Entry from Alexandria via LeMat-Bulk: an optimized crystal structure of LiZr2Br (PBE-GGA). Values from VASP.

## Properties
Energy relative to the elements, uncorrected ... 0.0862 eV/atom
Magnetization ... 0.0 μB/f.u.
Theoretical density ... 4.91 g/cm³
Energy above the lowest structure with this stoichiometry ... 451 meV/atom
Symmetry ... Cmmm (65)

The structure in Quantum ESPRESSO input format:
```
&SYSTEM
  ibrav = 0, nat = 4, ntyp = 3
/
ATOMIC_SPECIES
Br 79.90 Br.upf
Li 6.94 Li.upf
Zr 91.22 Zr.upf
CELL_PARAMETERS angstrom
-0.550 -2.905 1.197
2.061 1.921 1.495
-7.635 3.780 5.664
ATOMIC_POSITIONS crystal
Br 0.500 0.500 0.250
Li 0.500 0.500 0.750
Zr 0.000 0.000 0.016
Zr 0.000 0.000 0.484
```



Entry from Alexandria via LeMat-Bulk: an optimized crystal structure of Ag12PdAu6 (PBE-GGA). Values from VASP.

## Properties
Magnetization ... 0.0 μB/f.u.
Theoretical density ... 12.20 g/cm³
Energy above the lowest structure with this stoichiometry ... 43 meV/atom
Symmetry ... R-3 (148)

The structure in Quantum ESPRESSO input format:
```
&SYSTEM
  ibrav = 0, nat = 19, ntyp = 3
/
ATOMIC_SPECIES
Ag 107.87 Ag.upf
Au 196.97 Au.upf
Pd 106.42 Pd.upf
CELL_PARAMETERS angstrom
-0.429 -6.454 2.824
5.627 -2.051 -3.734
4.264 1.976 5.265
ATOMIC_POSITIONS crystal
Ag 0.962 0.843 0.627
Ag 0.627 0.962 0.843
Au 0.269 0.732 0.886
Au 0.268 0.114 0.731
Ag 0.843 0.627 0.962
Au 0.886 0.269 0.732
Au 0.732 0.886 0.269
Ag 0.440 0.799 0.526
Ag 0.038 0.157 0.373
Ag 0.526 0.440 0.799
Ag 0.560 0.201 0.474
Ag 0.373 0.038 0.157
Ag 0.474 0.560 0.201
Au 0.731 0.268 0.114
Au 0.114 0.731 0.268
Ag 0.201 0.474 0.560
Ag 0.157 0.373 0.038
Pd 0.000 0.000 0.000
Ag 0.799 0.526 0.440
```



Entry from Alexandria via LeMat-Bulk: an optimized crystal structure of TaPAu2 (PBE-GGA). Values from VASP.

## Properties
Magnetization ... 0.0 μB/f.u.
Theoretical density ... 14.59 g/cm³
DFT total energy ... -6.123 eV/atom
Symmetry ... Pm (6)

The structure in Quantum ESPRESSO input format:
```
&SYSTEM
  ibrav = 0, nat = 4, ntyp = 3
/
ATOMIC_SPECIES
Ta 180.95 Ta.upf
Au 196.97 Au.upf
P 30.97 P.upf
CELL_PARAMETERS angstrom
-1.016 -2.863 1.537
2.035 -1.728 -1.872
5.483 -0.162 3.324
ATOMIC_POSITIONS crystal
Ta 0.500 0.711 0.700
Au 0.500 0.439 0.252
P 0.000 0.283 0.554
Au 0.000 0.066 0.994
```



Entry from Alexandria via LeMat-Bulk: an optimized crystal structure of Hf2GeIr (PBE-GGA). Values from VASP.

## Properties
Magnetization ... 0.0 μB/f.u.
Theoretical density ... 12.79 g/cm³
DFT total energy ... -8.801 eV/atom
Symmetry ... R-3m (166)

The structure in Quantum ESPRESSO input format:
```
&SYSTEM
  ibrav = 0, nat = 4, ntyp = 3
/
ATOMIC_SPECIES
Hf 178.49 Hf.upf
Ir 192.22 Ir.upf
Ge 72.64 Ge.upf
CELL_PARAMETERS angstrom
3.802 0.000 0.000
1.901 3.292 0.000
1.901 1.097 6.451
ATOMIC_POSITIONS crystal
Hf 0.253 0.253 0.240
Ir 0.000 0.000 0.000
Ge 0.500 0.500 0.500
Hf 0.747 0.747 0.760
```



Entry from Alexandria via LeMat-Bulk: an optimized crystal structure of LaDy2Ho (PBE-GGA). Values from VASP.

## Properties
Magnetization ... 0.0 μB/f.u.
Theoretical density ... 7.96 g/cm³
Energy above the lowest structure with this stoichiometry ... 23 meV/atom
Symmetry ... P4/mmm (123)

The structure in Quantum ESPRESSO input format:
```
&SYSTEM
  ibrav = 0, nat = 4, ntyp = 3
/
ATOMIC_SPECIES
Dy 162.50 Dy.upf
Ho 164.93 Ho.upf
La 138.91 La.upf
CELL_PARAMETERS angstrom
3.596 0.000 0.000
0.000 3.596 0.000
0.000 0.000 10.143
ATOMIC_POSITIONS crystal
Dy 0.000 0.000 0.242
Ho 0.500 0.500 0.000
La 0.500 0.500 0.500
Dy 0.000 0.000 0.758
```



Entry from Alexandria via LeMat-Bulk: an optimized crystal structure of CaLaInGa (PBE-GGA). Values from VASP.

## Properties
Magnetization ... 0.0 μB/f.u.
Theoretical density ... 5.37 g/cm³
DFT total energy ... -3.661 eV/atom
Symmetry ... F-43m (216)

The structure in Quantum ESPRESSO input format:
```
&SYSTEM
  ibrav = 0, nat = 4, ntyp = 4
/
ATOMIC_SPECIES
La 138.91 La.upf
Ga 69.72 Ga.upf
Ca 40.08 Ca.upf
In 114.82 In.upf
CELL_PARAMETERS angstrom
-4.851 1.505 -1.881
-1.443 -1.242 -5.070
-3.833 -3.721 -0.891
ATOMIC_POSITIONS crystal
La 0.000 0.000 0.000
Ga 0.250 0.250 0.250
Ca 0.500 0.500 0.500
In 0.750 0.750 0.750
```



Entry from Alexandria via LeMat-Bulk: an optimized crystal structure of Cs7K4Pd (PBE-GGA). Values from VASP.

## Properties
Magnetization ... 0.0 μB/f.u.
Theoretical density ... 1.90 g/cm³
DFT total energy ... -1.268 eV/atom
Symmetry ... C2/m (12)

The structure in Quantum ESPRESSO input format:
```
&SYSTEM
  ibrav = 0, nat = 12, ntyp = 3
/
ATOMIC_SPECIES
Pd 106.42 Pd.upf
K 39.10 K.upf
Cs 132.91 Cs.upf
CELL_PARAMETERS angstrom
-8.711 2.171 0.760
-7.574 -4.596 -1.640
-3.807 -6.389 16.214
ATOMIC_POSITIONS crystal
Pd 0.000 0.000 0.000
K 0.042 0.042 0.168
Cs 0.140 0.140 0.554
Cs 0.796 0.796 0.085
Cs 0.417 0.417 0.654
K 0.696 0.696 0.733
K 0.304 0.304 0.267
Cs 0.500 0.500 0.000
K 0.958 0.958 0.832
Cs 0.204 0.204 0.915
Cs 0.583 0.583 0.346
Cs 0.860 0.860 0.446
```



- Among the records above, which one has the highest magnetization?
  Fe2IrCl



- Among the records above, which one has the highest theoretical density?
  VAu3